(1)
Entry from the Open Quantum Materials Database: crystalline RbPrTeO at its relaxed geometry (PBE).

Cell: 7.012 7.897 8.894 Å, 90.00 94.29 90.00°
Element x y z (fractional)
O1 0.395 0.857 0.426
O2 0.895 0.643 0.426
O3 0.105 0.357 0.574
O4 0.605 0.143 0.574
Pr1 0.289 0.135 0.484
Pr2 0.789 0.365 0.484
Pr3 0.211 0.635 0.516
Pr4 0.711 0.865 0.516
Rb1 0.368 0.858 0.113
Rb2 0.868 0.642 0.113
Rb3 0.132 0.358 0.887
Rb4 0.632 0.142 0.887
Te1 0.906 0.077 0.238
Te2 0.406 0.423 0.238
Te3 0.094 0.923 0.762
Te4 0.594 0.577 0.762

Summary:
uncorrected energy: -21.9 eV per formula unit
E above lowest polymorph: 0 meV/atom

(2)
Entry from the Open Quantum Materials Database: crystalline RbPrTeO at its relaxed geometry (PBE).

Cell: 4.453 4.453 10.992 Å, 90.00 90.00 90.00°
Element x y z (fractional)
O1 0.750 0.250 0.000
O2 0.250 0.750 0.000
Pr1 0.250 0.250 0.090
Pr2 0.750 0.750 0.910
Rb1 0.750 0.250 0.500
Rb2 0.250 0.750 0.500
Te1 0.750 0.750 0.261
Te2 0.250 0.250 0.739

Summary:
uncorrected energy: -21.2 eV per formula unit
E above lowest polymorph: 182 meV/atom

(3)
Entry from the Open Quantum Materials Database: crystalline RbPrTeO at its relaxed geometry (PBE).

Cell: 4.988 8.827 7.143 Å, 90.00 90.00 90.00°
Element x y z (fractional)
O1 0.500 0.087 0.213
O2 0.500 0.913 0.713
Pr1 0.500 0.888 0.025
Pr2 0.500 0.112 0.525
Rb1 0.000 0.288 0.121
Rb2 0.000 0.712 0.621
Te1 0.000 0.699 0.132
Te2 0.000 0.301 0.632

Summary:
uncorrected energy: -21.4 eV per formula unit
E above lowest polymorph: 132 meV/atom

(4)
Entry from the Open Quantum Materials Database: crystalline Rb2PrTmO4 at its relaxed geometry (PBE).

Cell: 3.536 3.536 12.952 Å, 90.00 90.00 120.00°
Element x y z (fractional)
O1 0.333 0.667 0.098
O2 0.333 0.667 0.416
O3 0.667 0.333 0.584
O4 0.667 0.333 0.902
Pr1 0.000 0.000 0.000
Rb1 0.667 0.333 0.255
Rb2 0.333 0.667 0.745
Tm1 0.000 0.000 0.500

Summary:
uncorrected energy: -51.8 eV per formula unit

(5)
Entry from the Open Quantum Materials Database: crystalline Rb2PrYO4 at its relaxed geometry (PBE).

Cell: 3.568 3.568 12.956 Å, 90.00 90.00 120.00°
Element x y z (fractional)
O1 0.333 0.667 0.096
O2 0.333 0.667 0.413
O3 0.667 0.333 0.587
O4 0.667 0.333 0.904
Pr1 0.000 0.000 0.000
Rb1 0.667 0.333 0.254
Rb2 0.333 0.667 0.746
Y1 0.000 0.000 0.500

Summary:
uncorrected energy: -53.6 eV per formula unit

(6)
Entry from the Open Quantum Materials Database: crystalline RbPrZnO3 at its relaxed geometry (PBE).

Cell: 9.554 6.471 6.471 Å, 147.20 90.00 90.00°
Element x y z (fractional)
O1 0.250 0.957 0.043
O2 0.068 0.614 0.386
O3 0.432 0.614 0.386
O4 0.568 0.386 0.614
O5 0.932 0.386 0.614
O6 0.750 0.043 0.957
Pr1 0.000 0.000 0.000
Pr2 0.500 0.000 0.000
Rb1 0.750 0.731 0.269
Rb2 0.250 0.269 0.731
Zn1 0.250 0.548 0.452
Zn2 0.750 0.452 0.548

Summary:
uncorrected energy: -34.5 eV per formula unit

(7)
Entry from the Open Quantum Materials Database: crystalline Pr3ReO8 at its relaxed geometry (PBE).

Cell: 14.923 7.451 6.178 Å, 90.00 90.00 110.30°
Element x y z (fractional)
O1 0.173 0.315 0.027
O2 0.340 0.644 0.027
O3 0.595 0.751 0.041
O4 0.091 0.873 0.049
O5 0.831 0.331 0.158
O6 0.018 0.405 0.199
O7 0.479 0.025 0.201
O8 0.291 0.972 0.204
O9 0.791 0.972 0.296
O10 0.979 0.025 0.299
O11 0.518 0.405 0.301
O12 0.331 0.331 0.342
O13 0.591 0.873 0.451
O14 0.095 0.751 0.459
O15 0.840 0.644 0.473
O16 0.673 0.315 0.473
O17 0.327 0.685 0.527
O18 0.160 0.356 0.527
O19 0.905 0.249 0.541
O20 0.409 0.127 0.549
O21 0.669 0.669 0.658
O22 0.482 0.595 0.699
O23 0.021 0.975 0.701
O24 0.209 0.028 0.704
O25 0.709 0.028 0.796
O26 0.521 0.975 0.799
O27 0.982 0.595 0.801
O28 0.169 0.669 0.842
O29 0.909 0.127 0.951
O30 0.405 0.249 0.959
O31 0.660 0.356 0.973
O32 0.827 0.685 0.973
Pr1 0.666 0.103 0.188
Pr2 0.947 0.662 0.204
Pr3 0.700 0.599 0.242
Pr4 0.200 0.599 0.258
Pr5 0.447 0.662 0.296
Pr6 0.166 0.103 0.312
Pr7 0.834 0.897 0.688
Pr8 0.553 0.338 0.704
Pr9 0.800 0.401 0.742
Pr10 0.300 0.401 0.758
Pr11 0.053 0.338 0.796
Pr12 0.334 0.897 0.812
Re1 0.909 0.180 0.246
Re2 0.409 0.180 0.254
Re3 0.591 0.820 0.746
Re4 0.091 0.820 0.754

Summary:
uncorrected energy: -99.4 eV per formula unit

(8)
Entry from the Open Quantum Materials Database: crystalline PrRe2O4 at its relaxed geometry (PBE).

Cell: 6.479 6.479 6.479 Å, 119.99 90.02 119.99°
Last column: magnetic moment on the atom in μB.
Element x y z (fractional)
O1 0.191 0.794 0.397  0.05
O2 0.603 0.206 0.397  0.07
O3 0.603 0.794 0.397  0.05
O4 0.147 0.294 0.441  0.06
O5 0.603 0.206 0.809  0.06
O6 0.147 0.706 0.853  0.05
O7 0.147 0.294 0.853  0.07
O8 0.559 0.706 0.853  0.05
Pr1 0.000 0.000 0.000  -0.02
Pr2 0.750 0.500 0.250  -0.02
Re1 0.375 0.750 0.125  1.27
Re2 0.375 0.250 0.625  1.41
Re3 0.375 0.750 0.625  1.26
Re4 0.875 0.250 0.625  1.40

Summary:
uncorrected energy: -57.3 eV per formula unit

(9)
Entry from the Open Quantum Materials Database: crystalline Pr2Re2S2O5 at its relaxed geometry (PBE).

Cell: 11.364 11.364 11.364 Å, 159.66 159.66 28.93°
Element x y z (fractional)
O1 0.000 0.000 0.000
O2 0.596 0.096 0.500
O3 0.904 0.404 0.500
O4 0.096 0.596 0.500
O5 0.404 0.904 0.500
Pr1 0.336 0.336 0.000
Pr2 0.664 0.664 0.000
Re1 0.083 0.083 0.000
Re2 0.917 0.917 0.000
S1 0.201 0.201 0.000
S2 0.799 0.799 0.000

Summary:
uncorrected energy: -87.4 eV per formula unit

(10)
Entry from the Open Quantum Materials Database: crystalline Pr3S2O at its relaxed geometry (PBE).

Cell: 3.885 3.885 9.842 Å, 90.00 90.00 120.00°
Element x y z (fractional)
O1 0.000 0.000 0.500
Pr1 0.000 0.000 0.000
Pr2 0.333 0.667 0.361
Pr3 0.667 0.333 0.639
S1 0.667 0.333 0.182
S2 0.333 0.667 0.818

Summary:
uncorrected energy: -40.7 eV per formula unit

(11)
Entry from the Open Quantum Materials Database: crystalline PrS2O6 at its relaxed geometry (PBE).

Cell: 5.009 9.168 6.351 Å, 90.00 101.97 90.00°
Last column: magnetic moment on the atom in μB.
Element x y z (fractional)
O1 0.827 0.928 0.160  0.08
O2 0.760 0.565 0.204  0.08
O3 0.738 0.299 0.221  0.05
O4 0.262 0.798 0.279  0.05
O5 0.240 0.065 0.296  0.08
O6 0.173 0.428 0.340  0.08
O7 0.827 0.072 0.660  0.08
O8 0.760 0.435 0.704  0.08
O9 0.738 0.701 0.721  0.05
O10 0.262 0.202 0.779  0.05
O11 0.240 0.935 0.796  0.08
O12 0.173 0.572 0.840  0.08
Pr1 0.500 0.750 0.000  0.01
Pr2 0.500 0.250 0.500  0.01
S1 0.909 0.425 0.171  0.10
S2 0.091 0.925 0.329  0.10
S3 0.909 0.575 0.671  0.10
S4 0.091 0.075 0.829  0.10

Summary:
uncorrected energy: -58.5 eV per formula unit

(12)
Entry from the Open Quantum Materials Database: crystalline Pr2Si2S2O5 at its relaxed geometry (PBE).

Cell: 12.209 12.209 12.209 Å, 163.02 163.02 24.11°
Element x y z (fractional)
O1 0.000 0.000 0.000
O2 0.586 0.086 0.500
O3 0.914 0.414 0.500
O4 0.086 0.586 0.500
O5 0.414 0.914 0.500
Pr1 0.341 0.341 0.000
Pr2 0.659 0.659 0.000
S1 0.204 0.204 0.000
S2 0.796 0.796 0.000
Si1 0.067 0.067 0.000
Si2 0.933 0.933 0.000

Summary:
uncorrected energy: -79.6 eV per formula unit

Volume: 491 218 314 140 143 217 644 192 177 129 285 155 (Å³/cell)